A plane-wave DFT calculation with GGA-PBEsol was carried out for a relaxed structure of TlGe2BCl.

Values from the calculation:
Formation energy without anion corrections in eV per atom: 1.2190

a b c (Å): 5.6173 5.6173 4.0420
angles (deg): 90.00 90.00 90.00
Closest atoms and distances in Å follow each position.
Fractional coordinates of all 5 atoms:
Tl: 0.0000 0.0000 0.0000  2 B 2.02
Ge: 0.0000 0.5000 0.0000  2 Tl 2.81
Ge: 0.5000 0.0000 0.0000  2 Tl 2.81
B: 0.0000 0.0000 0.5000  2 Tl 2.02
Cl: 0.5000 0.5000 0.5000  8 Ge 3.46



A plane-wave DFT calculation with GGA-PBEsol was carried out for a relaxed structure of B10H13Cl.

Values from the calculation:
Final energy in eV/atom: -4.91

a b c (Å): 12.2658 7.5297 10.7990
angles (deg): 90.00 115.77 90.00
Closest atoms and distances in Å follow each position.
Fractional coordinates of all 96 atoms:
B: 0.0903 0.2323 0.4171  2 H 1.20-1.33
B: 0.0903 0.2677 0.9171  2 H 1.20-1.33
B: 0.1401 0.1522 0.8115  1 H 1.20
B: 0.1401 0.3478 0.3115  1 H 1.20
B: 0.1577 0.0288 0.9559  2 H 1.20-1.31
B: 0.1577 0.4712 0.4559  2 H 1.20-1.31
B: 0.1675 0.1165 0.3340  1 H 1.20
B: 0.1675 0.3835 0.8340  1 H 1.20
B: 0.1902 0.0520 0.4960  1 H 1.20
B: 0.1902 0.4480 0.9960  1 H 1.20
B: 0.2708 0.0197 0.8932  1 H 1.20
B: 0.2708 0.4803 0.3932  1 H 1.20
B: 0.2834 0.2381 0.8426  1 H 1.21
B: 0.2834 0.2619 0.3426  1 H 1.21
B: 0.3146 0.0123 0.0675  2 H 1.38
B: 0.3146 0.4877 0.5675  2 H 1.38
B: 0.3186 0.0935 0.4652  2 H 1.20-1.33
B: 0.3186 0.4065 0.9652  2 H 1.20-1.33
B: 0.3870 0.1677 0.0042  2 H 1.20-1.31
B: 0.3870 0.3323 0.5042  2 H 1.20-1.31
B: 0.6130 0.6677 0.4958  2 H 1.20-1.31
B: 0.6130 0.8323 0.9958  2 H 1.20-1.31
B: 0.6814 0.5935 0.0348  2 H 1.20-1.33
B: 0.6814 0.9065 0.5348  2 H 1.20-1.33
B: 0.6854 0.5123 0.4325  2 H 1.38
B: 0.6854 0.9877 0.9325  2 H 1.38
B: 0.7166 0.7381 0.6574  1 H 1.21
B: 0.7166 0.7619 0.1574  1 H 1.21
B: 0.7292 0.5197 0.6068  1 H 1.20
B: 0.7292 0.9803 0.1068  1 H 1.20
B: 0.8098 0.5520 0.0040  1 H 1.20
B: 0.8098 0.9480 0.5040  1 H 1.20
B: 0.8325 0.6165 0.1660  1 H 1.20
B: 0.8325 0.8835 0.6660  1 H 1.20
B: 0.8423 0.5288 0.5441  2 H 1.20-1.31
B: 0.8423 0.9712 0.0441  2 H 1.20-1.31
B: 0.8599 0.6522 0.6885  1 H 1.20
B: 0.8599 0.8478 0.1885  1 H 1.20
B: 0.9097 0.7323 0.0829  2 H 1.20-1.33
B: 0.9097 0.7677 0.5829  2 H 1.20-1.33
H: 0.0144 0.7191 0.1075  1 B 1.20
H: 0.0144 0.7809 0.6075  1 B 1.20
H: 0.0612 0.0995 0.7054  1 B 1.20
H: 0.0612 0.4005 0.2054  1 B 1.20
H: 0.0918 0.5900 0.4530  1 B 1.20
H: 0.0918 0.9100 0.9530  1 B 1.20
H: 0.1207 0.0167 0.2388  1 B 1.20
H: 0.1207 0.4833 0.7388  1 B 1.20
H: 0.1485 0.1828 0.5484  2 B 1.33-1.34
H: 0.1485 0.3172 0.0484  2 B 1.33-1.34
H: 0.1657 0.5837 0.0356  1 B 1.20
H: 0.1657 0.9163 0.5356  1 B 1.20
H: 0.2167 0.0735 0.0859  2 B 1.31-1.38
H: 0.2167 0.4265 0.5859  2 B 1.31-1.38
H: 0.2890 0.6062 0.3370  1 B 1.20
H: 0.2890 0.8938 0.8370  1 B 1.20
H: 0.3062 0.0864 0.5817  2 B 1.33-1.34
H: 0.3062 0.4136 0.0817  2 B 1.33-1.34
H: 0.3271 0.2434 0.2628  1 B 1.21
H: 0.3271 0.2566 0.7628  1 B 1.21
H: 0.3735 0.1709 0.1179  2 B 1.31-1.38
H: 0.3735 0.3291 0.6179  2 B 1.31-1.38
H: 0.3883 0.5238 0.9767  1 B 1.20
H: 0.3883 0.9762 0.4767  1 B 1.20
H: 0.4933 0.1540 0.0381  1 B 1.20
H: 0.4933 0.3460 0.5381  1 B 1.20
H: 0.5067 0.6540 0.4619  1 B 1.20
H: 0.5067 0.8460 0.9619  1 B 1.20
H: 0.6117 0.0238 0.5233  1 B 1.20
H: 0.6117 0.4762 0.0233  1 B 1.20
H: 0.6265 0.6709 0.3821  2 B 1.31-1.38
H: 0.6265 0.8291 0.8821  2 B 1.31-1.38
H: 0.6729 0.7434 0.2372  1 B 1.21
H: 0.6729 0.7566 0.7372  1 B 1.21
H: 0.6938 0.5864 0.9183  2 B 1.33-1.34
H: 0.6938 0.9136 0.4183  2 B 1.33-1.34
H: 0.7110 0.1062 0.1630  1 B 1.20
H: 0.7110 0.3938 0.6630  1 B 1.20
H: 0.7833 0.5735 0.4141  2 B 1.31-1.38
H: 0.7833 0.9265 0.9141  2 B 1.31-1.38
H: 0.8343 0.0837 0.4644  1 B 1.20
H: 0.8343 0.4163 0.9644  1 B 1.20
H: 0.8515 0.6828 0.9516  2 B 1.33-1.34
H: 0.8515 0.8172 0.4516  2 B 1.33-1.34
H: 0.8793 0.5167 0.2612  1 B 1.20
H: 0.8793 0.9833 0.7612  1 B 1.20
H: 0.9082 0.0900 0.0470  1 B 1.20
H: 0.9082 0.4100 0.5470  1 B 1.20
H: 0.9388 0.5995 0.7946  1 B 1.20
H: 0.9388 0.9005 0.2946  1 B 1.20
H: 0.9856 0.2191 0.3925  1 B 1.20
H: 0.9856 0.2809 0.8925  1 B 1.20
Cl: 0.3872 0.6542 0.6899  1 B 1.76
Cl: 0.3872 0.8458 0.1899  1 B 1.76
Cl: 0.6128 0.1542 0.8101  1 B 1.76
Cl: 0.6128 0.3458 0.3101  1 B 1.76



A plane-wave DFT calculation with GGA-PBEsol was carried out for a relaxed structure of BHCl3.

Values from the calculation:
Final energy in eV/atom: -2.11

a b c (Å): 4.2498 4.2498 4.2498
angles (deg): 90.00 90.00 90.00
Closest atoms and distances in Å follow each position.
Fractional coordinates of all 5 atoms:
B: 0.0000 0.0000 0.0000  12 Cl 3.01
H: 0.5000 0.5000 0.5000  6 Cl 2.12
Cl: 0.0000 0.5000 0.5000  2 H 2.12
Cl: 0.5000 0.0000 0.5000  2 H 2.12
Cl: 0.5000 0.5000 0.0000  2 H 2.12



A plane-wave DFT calculation with GGA-PBEsol was carried out for a relaxed structure of BPHCl2.

Values from the calculation:
Final energy in eV/atom: -3.11

a b c (Å): 4.5963 4.5963 3.7865
angles (deg): 90.00 90.00 90.00
Closest atoms and distances in Å follow each position.
Fractional coordinates of all 5 atoms:
B: 0.0000 0.0000 0.0000  2 P 1.89
P: 0.0000 0.0000 0.5000  2 B 1.89
H: 0.5000 0.5000 0.5000  8 Cl 2.98, 4 P 3.25
Cl: 0.0000 0.5000 0.0000  2 B 2.30
Cl: 0.5000 0.0000 0.0000  2 B 2.30



A plane-wave DFT calculation with GGA-PBEsol was carried out for a relaxed structure of Rb3B12H12Cl.

Values from the calculation:
Final energy in eV/atom: -5.08

a b c (Å): 6.8214 6.8214 6.8214
angles (deg): 92.98 92.98 92.98
Closest atoms and distances in Å follow each position.
Fractional coordinates of all 28 atoms:
Rb: 0.0000 0.5000 0.5000  10 H 2.88-3.16
Rb: 0.5000 0.0000 0.5000  10 H 2.88-3.16
Rb: 0.5000 0.5000 0.0000  10 H 2.88-3.16
B: 0.0601 0.0601 0.2387  1 H 1.21
B: 0.0601 0.2387 0.0601  1 H 1.21
B: 0.1251 0.1251 0.8354  1 H 1.21
B: 0.1251 0.8354 0.1251  1 H 1.21
B: 0.1646 0.8749 0.8749  1 H 1.21
B: 0.2387 0.0601 0.0601  1 H 1.21
B: 0.7613 0.9399 0.9399  1 H 1.21
B: 0.8354 0.1251 0.1251  1 H 1.21
B: 0.8749 0.1646 0.8749  1 H 1.21
B: 0.8749 0.8749 0.1646  1 H 1.21
B: 0.9399 0.7613 0.9399  1 H 1.21
B: 0.9399 0.9399 0.7613  1 H 1.21
H: 0.1030 0.1030 0.4098  1 B 1.21
H: 0.1030 0.4098 0.1030  1 B 1.21
H: 0.2166 0.2166 0.7192  1 B 1.21
H: 0.2166 0.7192 0.2166  1 B 1.21
H: 0.2808 0.7834 0.7834  1 B 1.21
H: 0.4098 0.1030 0.1030  1 B 1.21
H: 0.5902 0.8970 0.8970  1 B 1.21
H: 0.7192 0.2166 0.2166  1 B 1.21
H: 0.7834 0.2808 0.7834  1 B 1.21
H: 0.7834 0.7834 0.2808  1 B 1.21
H: 0.8970 0.5902 0.8970  1 B 1.21
H: 0.8970 0.8970 0.5902  1 B 1.21
Cl: 0.5000 0.5000 0.5000  6 H 3.15, 6 Rb 3.41



A plane-wave DFT calculation with GGA-PBEsol was carried out for a relaxed structure of HfNiBCl2.

Values from the calculation:
Formation energy without anion corrections in eV per atom: 0.5760

a b c (Å): 4.4861 4.4861 3.8669
angles (deg): 90.00 90.00 90.00
Closest atoms and distances in Å follow each position.
Fractional coordinates of all 5 atoms:
Hf: 0.0000 0.0000 0.0000  8 Cl 2.96, 4 B 3.17
Ni: 0.5000 0.5000 0.5000  2 B 1.93
B: 0.5000 0.5000 0.0000  2 Ni 1.93
Cl: 0.0000 0.5000 0.5000  2 Ni 2.24
Cl: 0.5000 0.0000 0.5000  2 Ni 2.24



A plane-wave DFT calculation with GGA-PBEsol was carried out for a relaxed structure of HfZnBCl2.

Values from the calculation:
Formation energy without anion corrections in eV per atom: 0.8088

a b c (Å): 4.8937 4.8937 3.9024
angles (deg): 90.00 90.00 90.00
Closest atoms and distances in Å follow each position.
Fractional coordinates of all 5 atoms:
Hf: 0.0000 0.0000 0.0000  8 Cl 3.13, 4 B 3.46
Zn: 0.5000 0.5000 0.5000  2 B 1.95
B: 0.5000 0.5000 0.0000  2 Zn 1.95
Cl: 0.0000 0.5000 0.5000  2 Zn 2.45
Cl: 0.5000 0.0000 0.5000  2 Zn 2.45



A plane-wave DFT calculation with GGA-PBEsol was carried out for a relaxed structure of HgBP2Cl.

Values from the calculation:
Formation energy without anion corrections in eV per atom: 0.6660

a b c (Å): 3.8708 3.8708 6.6586
angles (deg): 90.00 90.00 90.00
Closest atoms and distances in Å follow each position.
Fractional coordinates of all 5 atoms:
Hg: 0.0000 0.0000 0.0000  4 Cl 2.74
B: 0.5000 0.5000 0.5000  4 P 1.94
P: 0.0000 0.5000 0.5000  2 B 1.94
P: 0.5000 0.0000 0.5000  2 B 1.94
Cl: 0.5000 0.5000 0.0000  4 Hg 2.74



A plane-wave DFT calculation with GGA-PBEsol was carried out for a relaxed structure of Hg2BSCl.

Values from the calculation:
Formation energy without anion corrections in eV per atom: 1.5085

a b c (Å): 5.4404 5.4404 4.5703
angles (deg): 90.00 90.00 90.00
Closest atoms and distances in Å follow each position.
Fractional coordinates of all 5 atoms:
Hg: 0.0000 0.5000 0.0000  2 Cl 2.72
Hg: 0.5000 0.0000 0.0000  2 Cl 2.72
B: 0.0000 0.0000 0.5000  8 Hg 3.55, 4 S 3.85
S: 0.5000 0.5000 0.5000  2 Cl 2.29
Cl: 0.5000 0.5000 0.0000  2 S 2.29



A plane-wave DFT calculation with GGA-PBEsol was carried out for a relaxed structure of YHgB2Cl.

Values from the calculation:
Formation energy without anion corrections in eV per atom: 0.7438

a b c (Å): 4.0874 4.0874 5.9905
angles (deg): 90.00 90.00 90.00
Closest atoms and distances in Å follow each position.
Fractional coordinates of all 5 atoms:
Y: 0.0000 0.0000 0.0000  4 Cl 2.89, 2 Hg 3.00
Hg: 0.0000 0.0000 0.5000  4 B 2.04
B: 0.0000 0.5000 0.5000  2 Hg 2.04
B: 0.5000 0.0000 0.5000  2 Hg 2.04
Cl: 0.5000 0.5000 0.0000  4 Y 2.89



A plane-wave DFT calculation with GGA-PBEsol was carried out for a relaxed structure of BICl2.

Values from the calculation:
Formation energy without anion corrections in eV per atom: 0.2571

a b c (Å): 6.4284 6.4284 6.4284
angles (deg): 60.00 60.00 60.00
Closest atoms and distances in Å follow each position.
Fractional coordinates of all 8 atoms:
B: 0.1250 0.1250 0.1250  4 Cl 1.97
B: 0.8750 0.8750 0.8750  4 Cl 1.97
I: 0.3750 0.3750 0.3750  12 Cl 3.77, 4 I 3.94, 4 B 3.94
I: 0.6250 0.6250 0.6250  12 Cl 3.77, 4 I 3.94, 4 B 3.94
Cl: 0.0000 0.0000 0.0000  2 B 1.97
Cl: 0.0000 0.0000 0.5000  2 B 1.97
Cl: 0.0000 0.5000 0.0000  2 B 1.97
Cl: 0.5000 0.0000 0.0000  2 B 1.97